Entry 1:
This record from Alexandria describes a geometry-optimized Fe2SbRh structure. The functional is PBE-GGA.

a b c (Å): 9.3665 9.3665 9.3665
angles (deg): 156.98 156.98 32.79
Sites, in units of the cell vectors:
Fe 0.0435 0.6250 0.9185
Fe 0.3750 0.2935 0.4185
Fe 0.7065 0.1250 0.0815
Fe 0.8750 0.9565 0.5815
Sb 0.2500 0.7500 0.5000
Sb 0.5000 0.5000 0.0000
Rh 0.0000 0.0000 0.0000
Rh 0.7500 0.2500 0.5000

Calculated values
- Calculated total energy: -6.534 eV per atom
- Space-group type: I-42d, No. 122



Entry 2:
This record from Alexandria describes a geometry-optimized In3Hg7 structure. The functional is PBE-GGA.

a b c (Å): 7.8544 7.8544 6.7980
angles (deg): 99.73 99.73 40.43
Sites, in units of the cell vectors:
In 0.0000 0.0000 0.0000
In 0.2000 0.2000 0.7963
In 0.8000 0.8000 0.2037
Hg 0.0000 0.0000 0.5000
Hg 0.1990 0.1990 0.2987
Hg 0.3998 0.3998 0.5976
Hg 0.4013 0.4013 0.1003
Hg 0.5987 0.5987 0.8997
Hg 0.6002 0.6002 0.4024
Hg 0.8010 0.8010 0.7013

Calculated values
- Energy relative to the elements: 0.010 eV/atom
- Calculated total energy: -1.022 eV per atom
- Energy relative to the lowest polymorph listed for this composition: 0 meV/atom
- Space-group type: C2/m, No. 12



Entry 3:
This record from Alexandria describes a geometry-optimized TaTe2P structure. The functional is PBE-GGA.

a b c (Å): 5.1794 5.1794 4.1146
angles (deg): 105.85 105.85 111.58
Sites, in units of the cell vectors:
Ta 0.0000 0.0000 0.0000
Te 0.0000 0.5000 0.5000
Te 0.5000 0.0000 0.5000
P 0.5000 0.5000 0.0000

Calculated values
- Calculated total energy: -5.336 eV per atom
- Space-group type: C2/m, No. 12



Entry 4:
This record from Alexandria describes a geometry-optimized CsC3Br structure. The functional is PBE-GGA.

a b c (Å): 4.9477 4.9477 4.9477
angles (deg): 90.00 90.00 90.00
Sites, in units of the cell vectors:
Cs 0.0000 0.0000 0.0000
C 0.0000 0.5000 0.5000
C 0.5000 0.0000 0.5000
C 0.5000 0.5000 0.0000
Br 0.5000 0.5000 0.5000

Calculated values
- Calculated total energy: -2.741 eV per atom
- Energy relative to the lowest polymorph listed for this composition: 0 meV/atom
- Space-group type: Pm-3m, No. 221



Entry 5:
This record from Alexandria describes a geometry-optimized CsBa2AcI8 structure. The functional is PBE-GGA.

a b c (Å): 7.8707 8.1243 10.8265
angles (deg): 90.01 90.04 90.11
Sites, in units of the cell vectors:
Cs 0.0000 0.0000 0.0000
Ba 0.5001 0.5000 0.2488
Ba 0.4999 0.5000 0.7512
Ac 0.0000 0.0000 0.5000
I 0.2448 0.8482 0.2860
I 0.2452 0.8485 0.7141
I 0.2501 0.3338 0.4998
I 0.2580 0.3890 0.9999
I 0.7420 0.6110 0.0001
I 0.7499 0.6662 0.5002
I 0.7548 0.1515 0.2858
I 0.7552 0.1518 0.7140

Calculated values
- Calculated total energy: -3.402 eV per atom
- Space-group type: P-1, No. 2



Entry 6:
This record from Alexandria describes a geometry-optimized Ru2RhCl structure. The functional is PBE-GGA.

a b c (Å): 4.5464 4.5464 4.5464
angles (deg): 126.57 126.57 78.96
Sites, in units of the cell vectors:
Ru 0.0000 0.0000 0.0000
Ru 0.7500 0.2500 0.5000
Rh 0.5000 0.5000 0.0000
Cl 0.2500 0.7500 0.5000

Calculated values
- Calculated total energy: -6.077 eV per atom
- Energy relative to the lowest polymorph listed for this composition: 514 meV/atom
- Space-group type: I-4m2, No. 119



Entry 7:
This record from Alexandria describes a geometry-optimized Y2Ho2Ga4Cu structure. The functional is PBE-GGA.

a b c (Å): 6.4884 6.4884 6.4884
angles (deg): 115.58 115.58 97.84
Sites, in units of the cell vectors:
Y 0.2500 0.7500 0.5000
Y 0.7500 0.2500 0.5000
Ho 0.1897 0.1897 0.0000
Ho 0.8103 0.8103 0.0000
Ga 0.2586 0.2586 0.5172
Ga 0.2586 0.7414 0.0000
Ga 0.7414 0.2586 0.0000
Ga 0.7414 0.7414 0.4828
Cu 0.5000 0.5000 0.0000

Calculated values
- Energy relative to the elements: -0.350 eV/atom
- Calculated total energy: -4.604 eV per atom
- Space-group type: I4/mmm, No. 139



Entry 8:
This record from Alexandria describes a geometry-optimized Cd3Se structure. The functional is PBE-GGA.

a b c (Å): 7.8378 7.8378 7.8378
angles (deg): 29.11 29.11 29.11
Sites, in units of the cell vectors:
Cd 0.0000 0.0000 0.0000
Cd 0.2423 0.2423 0.2423
Cd 0.7577 0.7577 0.7577
Se 0.5000 0.5000 0.5000

Calculated values
- Calculated total energy: -1.714 eV per atom
- Space-group type: R-3m, No. 166



Entry 9:
This record from Alexandria describes a geometry-optimized Sm2Y3Sc4 structure. The functional is PBE-GGA.

a b c (Å): 9.8044 9.8044 5.8344
angles (deg): 95.98 95.98 70.28
Sites, in units of the cell vectors:
Sm 0.0007 0.2372 0.2885
Sm 0.2372 0.0007 0.7885
Sm 0.7628 0.9993 0.2115
Sm 0.9993 0.7628 0.7115
Y 0.1470 0.8530 0.2500
Y 0.2156 0.4644 0.3977
Y 0.4644 0.2156 0.8977
Y 0.5356 0.7844 0.1023
Y 0.7844 0.5356 0.6023
Y 0.8530 0.1470 0.7500
Sc 0.1030 0.3681 0.8497
Sc 0.3317 0.5616 0.9531
Sc 0.3681 0.1030 0.3497
Sc 0.4384 0.6683 0.5469
Sc 0.5616 0.3317 0.4531
Sc 0.6319 0.8970 0.6503
Sc 0.6683 0.4384 0.0469
Sc 0.8970 0.6319 0.1503

Calculated values
- Energy relative to the elements: 0.113 eV/atom
- Calculated total energy: -5.904 eV per atom
- Space-group type: C2/c, No. 15



Entry 10:
This record from Alexandria describes a geometry-optimized LiGe3Se structure. The functional is PBE-GGA.

a b c (Å): 4.6634 4.6634 4.6634
angles (deg): 90.00 90.00 90.00
Sites, in units of the cell vectors:
Li 0.0000 0.0000 0.0000
Ge 0.0000 0.0000 0.5000
Ge 0.0000 0.5000 0.0000
Ge 0.5000 0.0000 0.0000
Se 0.5000 0.5000 0.5000

Calculated values
- Calculated total energy: -3.448 eV per atom
- Energy relative to the lowest polymorph listed for this composition: 0 meV/atom
- Space-group type: Pm-3m, No. 221



Entry 11:
This record from Alexandria describes a geometry-optimized Sr8GaHg2 structure. The functional is PBE-GGA.

a b c (Å): 8.9674 8.9674 6.9226
angles (deg): 101.22 101.22 113.04
Sites, in units of the cell vectors:
Sr 0.0000 0.0000 0.0000
Sr 0.0135 0.2708 0.5981
Sr 0.1520 0.5619 0.1923
Sr 0.2708 0.0135 0.5981
Sr 0.4315 0.6907 0.8068
Sr 0.5619 0.1520 0.1923
Sr 0.6907 0.4315 0.8068
Sr 0.7053 0.7053 0.3740
Ga 0.3557 0.3557 0.9978
Hg 0.0339 0.6575 0.6841
Hg 0.6575 0.0339 0.6841

Calculated values
- Energy relative to the elements: -0.219 eV/atom
- Calculated total energy: -1.773 eV per atom
- Energy relative to the lowest polymorph listed for this composition: 32 meV/atom
- Space-group type: Cm, No. 8



Entry 12:
This record from Alexandria describes a geometry-optimized NaSrBeMo2 structure. The functional is PBE-GGA.

a b c (Å): 5.0725 5.0725 4.6615
angles (deg): 90.00 90.00 90.00
Sites, in units of the cell vectors:
Na 0.0000 0.0000 0.0000
Sr 0.5000 0.5000 0.5000
Be 0.0000 0.0000 0.5000
Mo 0.0000 0.5000 0.0000
Mo 0.5000 0.0000 0.0000

Calculated values
- Energy relative to the elements: 2.036 eV/atom
- Calculated total energy: -3.642 eV per atom
- Space-group type: P4/mmm, No. 123



Entry 13:
This record from Alexandria describes a geometry-optimized FeRuRh structure. The functional is PBE-GGA.

a b c (Å): 5.8324 5.8324 5.8324
angles (deg): 153.35 153.35 38.04
Sites, in units of the cell vectors:
Fe 0.0000 0.0000 0.0000
Ru 0.6593 0.6593 0.0000
Rh 0.3344 0.3344 0.0000

Calculated values
- Energy relative to the elements: 0.071 eV/atom
- Calculated total energy: -8.292 eV per atom
- Energy relative to the lowest polymorph listed for this composition: 6 meV/atom
- Space-group type: I4mm, No. 107